# Er4Sn3 PBE optimized geometry
data_Er4Sn3
_chemical_formula_sum 'Er16 Sn12'
_symmetry_space_group_name_H-M 'I -4 3 d'
_symmetry_Int_Tables_number 220
_symmetry_space_group_name_Hall 'I -4bd 2c 3'
_cell_length_a 9.199
_cell_length_b 9.199
_cell_length_c 9.199
_cell_angle_alpha 90.00
_cell_angle_beta 90.00
_cell_angle_gamma 90.00
loop_
_atom_site_label
_atom_site_type_symbol
_atom_site_fract_x
_atom_site_fract_y
_atom_site_fract_z
_atom_site_occupancy
Er1 Er 0.071 0.429 0.571 1
Sn1 Sn 0.000 0.250 0.875 1
# Energy = -5.028 eV per atom

# ErSn PBE optimized geometry
data_ErSn
_chemical_formula_sum 'Er2 Sn2'
_symmetry_space_group_name_H-M 'P 63/m m c'
_symmetry_Int_Tables_number 194
_symmetry_space_group_name_Hall '-P 6c 2c'
_cell_length_a 4.2789
_cell_length_b 4.2789
_cell_length_c 7.4593
_cell_angle_alpha 90.00
_cell_angle_beta 90.00
_cell_angle_gamma 120.00
loop_
_atom_site_label
_atom_site_type_symbol
_atom_site_fract_x
_atom_site_fract_y
_atom_site_fract_z
_atom_site_occupancy
Er1 Er 0.0000 0.0000 0.0000 1
Sn1 Sn 0.3333 0.6667 0.2500 1
# Energy = -4.663 eV per atom

# ErSn PBE optimized geometry
data_ErSn
_chemical_formula_sum 'Er4 Sn4'
_symmetry_space_group_name_H-M 'F m -3 m'
_symmetry_Int_Tables_number 225
_symmetry_space_group_name_Hall '-F 4 2 3'
_cell_length_a 6.154
_cell_length_b 6.154
_cell_length_c 6.154
_cell_angle_alpha 90.00
_cell_angle_beta 90.00
_cell_angle_gamma 90.00
loop_
_atom_site_label
_atom_site_type_symbol
_atom_site_fract_x
_atom_site_fract_y
_atom_site_fract_z
_atom_site_occupancy
Er1 Er 0.000 0.000 0.000 1
Sn1 Sn 0.000 0.000 0.500 1
# Energy = -4.738 eV per atom

Question: energy of number 1 (Er4Sn3)?
Answer: -5.028 eV per atom